VASP calculation (GGA-PBE) on an optimized crystal structure of KAgHgF6.

a b c (Å): 5.644 5.690 5.729
angles (deg): 108.83 92.54 92.83
Fractional positions:
K (0.000, 0.000, 0.000)
Ag (0.501, 0.681, 0.321)
Hg (0.501, 0.292, 0.712)
F (0.218, 0.021, 0.581)
F (0.320, 0.672, 0.016)
F (0.325, 0.374, 0.321)
F (0.675, 0.682, 0.627)
F (0.682, 0.989, 0.330)
F (0.785, 0.425, 0.980)

**Total moment**: 0.00 Bohr magnetons per cell
**ΔE_f (raw)**: -1.578 eV/atom
**VASP energy**: -3.297 eV per atom

=====

VASP calculation (GGA-PBE) on an optimized crystal structure of KAg3Hg4F12.

a b c (Å): 7.663 7.663 7.663
angles (deg): 109.47 109.47 109.47
Fractional positions:
K (0.000, 0.000, 0.000)
Ag (0.000, 0.500, 0.500)
Ag (0.500, 0.000, 0.500)
Ag (0.500, 0.500, 0.000)
Hg (0.000, 0.000, 0.500)
Hg (0.000, 0.500, 0.000)
Hg (0.500, 0.000, 0.000)
Hg (0.500, 0.500, 0.500)
F (0.120, 0.823, 0.297)
F (0.177, 0.297, 0.474)
F (0.177, 0.703, 0.880)
F (0.297, 0.120, 0.823)
F (0.297, 0.474, 0.177)
F (0.474, 0.177, 0.297)
F (0.526, 0.823, 0.703)
F (0.703, 0.526, 0.823)
F (0.703, 0.880, 0.177)
F (0.823, 0.297, 0.120)
F (0.823, 0.703, 0.526)
F (0.880, 0.177, 0.703)

**Total moment**: 0.12 Bohr magnetons per cell
**ΔE_f (raw)**: -1.420 eV/atom
**VASP energy**: -3.086 eV per atom

=====

VASP calculation (GGA-PBE) on an optimized crystal structure of K2AgHg3F8.

a b c (Å): 7.513 7.513 7.513
angles (deg): 57.26 57.26 57.26
Fractional positions:
K (0.000, 0.000, 0.000)
K (0.371, 0.371, 0.371)
Ag (0.622, 0.622, 0.622)
Hg (0.509, 0.993, 0.993)
Hg (0.993, 0.509, 0.993)
Hg (0.993, 0.993, 0.509)
F (0.221, 0.748, 0.748)
F (0.231, 0.231, 0.231)
F (0.248, 0.248, 0.799)
F (0.248, 0.799, 0.248)
F (0.748, 0.221, 0.748)
F (0.748, 0.748, 0.221)
F (0.749, 0.749, 0.749)
F (0.799, 0.248, 0.248)

**Total moment**: 0.00 Bohr magnetons per cell
**ΔE_f (raw)**: -1.663 eV/atom
**VASP energy**: -3.158 eV per atom

=====

VASP calculation (GGA-PBE) on an optimized crystal structure of K2AgHg2F6.

a b c (Å): 6.678 6.678 7.503
angles (deg): 121.20 121.20 58.44
Fractional positions:
K (0.226, 0.226, 0.119)
K (0.774, 0.774, 0.881)
Ag (0.000, 0.000, 0.500)
Hg (0.415, 0.415, 0.786)
Hg (0.585, 0.585, 0.214)
F (0.155, 0.698, 0.248)
F (0.228, 0.228, 0.457)
F (0.302, 0.845, 0.752)
F (0.698, 0.155, 0.248)
F (0.772, 0.772, 0.543)
F (0.845, 0.302, 0.752)

**Total moment**: 1.00 Bohr magnetons per cell
**ΔE_f (raw)**: -1.728 eV/atom
**VASP energy**: -3.263 eV per atom

=====

VASP calculation (GGA-PBE) on an optimized crystal structure of K2Ag2HgF6.

a b c (Å): 7.133 7.133 7.133
angles (deg): 57.19 57.19 57.19
Fractional positions:
K (0.202, 0.202, 0.202)
K (0.798, 0.798, 0.798)
Ag (0.420, 0.420, 0.420)
Ag (0.580, 0.580, 0.580)
Hg (0.000, 0.000, 0.000)
F (0.201, 0.766, 0.766)
F (0.234, 0.234, 0.799)
F (0.234, 0.799, 0.234)
F (0.766, 0.201, 0.766)
F (0.766, 0.766, 0.201)
F (0.799, 0.234, 0.234)

**Total moment**: 0.00 Bohr magnetons per cell
**ΔE_f (raw)**: -1.671 eV/atom
**VASP energy**: -3.437 eV per atom

=====

VASP calculation (GGA-PBE) on an optimized crystal structure of KAgHgF4.

a b c (Å): 6.591 5.901 7.306
angles (deg): 90.00 103.99 90.00
Fractional positions:
K (0.233, 0.250, 0.033)
K (0.767, 0.750, 0.967)
Ag (0.152, 0.250, 0.539)
Ag (0.848, 0.750, 0.461)
Hg (0.293, 0.750, 0.376)
Hg (0.707, 0.250, 0.624)
F (0.027, 0.509, 0.255)
F (0.027, 0.991, 0.255)
F (0.441, 0.250, 0.383)
F (0.465, 0.250, 0.796)
F (0.535, 0.750, 0.204)
F (0.559, 0.750, 0.617)
F (0.973, 0.009, 0.745)
F (0.973, 0.491, 0.745)

**Total moment**: 0.15 Bohr magnetons per cell
**ΔE_f (raw)**: -1.626 eV/atom
**VASP energy**: -3.302 eV per atom

=====

VASP calculation (GGA-PBE) on an optimized crystal structure of K3Ag2HgF9.

a b c (Å): 6.293 6.293 7.780
angles (deg): 90.00 90.00 120.00
Fractional positions:
K (0.000, 0.000, 0.000)
K (0.333, 0.667, 0.682)
K (0.667, 0.333, 0.318)
Ag (0.333, 0.667, 0.161)
Ag (0.667, 0.333, 0.839)
Hg (0.000, 0.000, 0.500)
F (0.000, 0.500, 0.000)
F (0.167, 0.334, 0.325)
F (0.167, 0.833, 0.325)
F (0.334, 0.167, 0.675)
F (0.500, 0.000, 0.000)
F (0.500, 0.500, 0.000)
F (0.666, 0.833, 0.325)
F (0.833, 0.167, 0.675)
F (0.833, 0.666, 0.675)

**Total moment**: 0.00 Bohr magnetons per cell
**ΔE_f (raw)**: -1.884 eV/atom
**VASP energy**: -3.627 eV per atom

=====

VASP calculation (GGA-PBE) on an optimized crystal structure of LaAgHgF6.

a b c (Å): 5.457 5.457 11.407
angles (deg): 90.00 90.00 90.00
Fractional positions:
La (0.000, 0.000, 0.000)
La (0.500, 0.500, 0.500)
Ag (0.000, 0.000, 0.333)
Ag (0.500, 0.500, 0.833)
Hg (0.000, 0.000, 0.668)
Hg (0.500, 0.500, 0.168)
F (0.186, 0.186, 0.835)
F (0.199, 0.199, 0.510)
F (0.202, 0.202, 0.154)
F (0.298, 0.702, 0.654)
F (0.301, 0.699, 0.010)
F (0.314, 0.686, 0.335)
F (0.686, 0.314, 0.335)
F (0.699, 0.301, 0.010)
F (0.702, 0.298, 0.654)
F (0.798, 0.798, 0.154)
F (0.801, 0.801, 0.510)
F (0.814, 0.814, 0.835)

**Total moment**: 0.10 Bohr magnetons per cell
**ΔE_f (raw)**: -2.487 eV/atom
**VASP energy**: -4.633 eV per atom